Record 1
Material: YU2Te6
Method: DFT, PBE
State: optimized geometry

abc: 5.7147 5.7147 11.6588
angles: 104.19 104.19 90.00
Positions (direct):
Te 0.7500 0.2500 0.5000
Te 0.1438 0.1438 0.8195
Te 0.6756 0.6756 0.8195
Te 0.8562 0.3244 0.1805
Te 0.2500 0.7500 0.5000
Te 0.3244 0.8562 0.1805
U 0.1891 0.1891 0.3781
U 0.8109 0.8109 0.6219
Y 0.5000 0.5000 0.0000

Properties
The formation energy from raw total energies comes out at -0.46 eV/atom.

---

Record 2
Material: La6Pm2Pr3
Method: DFT, PBE
State: optimized geometry

abc: 6.4588 8.2836 15.3097
angles: 49.41 60.35 97.07
Positions (direct):
La 0.9095 0.3626 0.2716
La 0.1809 0.2724 0.4543
La 0.2737 0.9113 0.1803
La 0.7263 0.0887 0.8197
La 0.8191 0.7276 0.5457
La 0.0905 0.6374 0.7284
Pr 0.0000 0.0000 0.0000
Pr 0.4543 0.1793 0.6372
Pr 0.5457 0.8207 0.3628
Pm 0.6367 0.4559 0.0900
Pm 0.3633 0.5441 0.9100

Properties
Its distance to the lowest polymorph of the same formula is 0.000 eV per atom. The formation energy comes out at 0.01 eV/atom.